First-principles (GGA-PBE) data for MgAg2P2S6 after structural relaxation, as listed in the Alexandria database.

```
MgAg2P2S6
1.0
6.359 -0.015 0.029
-3.160 5.518 0.029
1.051 1.808 14.409
S P Ag Mg
12 4 4 2
Cartesian
-0.798 3.333 1.887 S
3.072 3.282 5.382 S
0.433 5.451 5.376 S
-0.125 2.075 5.365 S
2.393 2.113 1.881 S
3.817 1.860 9.091 S
1.857 5.198 12.587 S
5.047 3.978 12.581 S
1.177 4.029 9.085 S
4.375 5.236 9.103 S
1.859 5.489 1.899 S
2.390 1.822 12.569 S
4.321 1.795 2.496 P
-0.053 5.547 9.701 P
-0.071 5.516 11.972 P
4.303 1.764 4.767 P
-2.046 5.445 5.157 Ag
-2.020 5.490 2.106 Ag
6.270 1.821 12.361 Ag
6.296 1.866 9.311 Ag
1.145 3.620 3.632 Mg
3.105 3.690 10.836 Mg
```

Summary:
- Formation energy (no corrections): -456.5 meV/atom
- SG: C2/c (15)